(1)
Crystalline TiHO at its relaxed geometry, computed with PBE-GGA.

Properties
Size of the total moment: 0.516 μB per formula unit
Energy above the most stable polymorph in this dataset: 0.1689 eV/atom
SG: P3m1 (156)
Calculated total energy: -0.254 Ha/atom

Unit cell a=3.0094 b=3.0094 c=4.7930 alpha=90.00 beta=90.00 gamma=120.00
Sites, in units of the cell vectors:
Ti1 0.0000 0.0000 0.0000
H1 0.6667 0.3333 0.7860
O1 0.3333 0.6667 0.1819


(2)
Crystalline Mn2H2Ir at its relaxed geometry, computed with PBE-GGA.

Properties
Size of the total moment: 0.000 μB per formula unit
Energy above the most stable polymorph in this dataset: 0.2291 eV/atom
SG: P4/mbm (127)
Calculated total energy: -0.242 Ha/atom

Unit cell a=5.6532 b=5.6532 c=2.6554 alpha=90.00 beta=90.00 gamma=90.00
Sites, in units of the cell vectors:
Mn1 0.1245 0.3755 0.0000
Mn2 0.3755 0.8755 0.0000
Mn3 0.6245 0.1245 0.0000
Mn4 0.8755 0.6245 0.0000
H1 0.1438 0.6438 0.5000
H2 0.3562 0.1438 0.5000
H3 0.6438 0.8562 0.5000
H4 0.8562 0.3562 0.5000
Ir1 0.0000 0.0000 0.5000
Ir2 0.5000 0.5000 0.5000


(3)
Crystalline CdNiAs at its relaxed geometry, computed with PBE-GGA.

Properties
Size of the total moment: 0.000 μB per formula unit
SG: P-6m2 (187)
Calculated total energy: -0.140 Ha/atom

Unit cell a=3.9908 b=3.9908 c=3.9075 alpha=90.00 beta=90.00 gamma=120.00
Sites, in units of the cell vectors:
Cd1 0.0000 0.0000 0.0000
Ni1 0.6667 0.3333 0.5000
As1 0.3333 0.6667 0.5000


(4)
Crystalline Ba3Al4Zn2 at its relaxed geometry, computed with PBE-GGA.

Properties
Size of the total moment: 0.000 μB per formula unit
Energy above the most stable polymorph in this dataset: 0.0107 eV/atom
SG: P-6m2 (187)
Calculated total energy: -0.102 Ha/atom

Unit cell a=4.5357 b=4.5357 c=31.1677 alpha=90.00 beta=90.00 gamma=120.00
Sites, in units of the cell vectors:
Ba1 0.0000 0.0000 0.0818
Ba2 0.0000 0.0000 0.2500
Ba3 0.0000 0.0000 0.4156
Ba4 0.0000 0.0000 0.5844
Ba5 0.0000 0.0000 0.7500
Ba6 0.0000 0.0000 0.9182
Al1 0.3333 0.6667 0.1659
Al2 0.3333 0.6667 0.3330
Al3 0.3333 0.6667 0.5000
Al4 0.3333 0.6667 0.6670
Al5 0.3333 0.6667 0.8341
Al6 0.6667 0.3333 0.1653
Al7 0.6667 0.3333 0.5000
Al8 0.6667 0.3333 0.8347
Zn1 0.3333 0.6667 0.0000
Zn2 0.6667 0.3333 0.0000
Zn3 0.6667 0.3333 0.3329
Zn4 0.6667 0.3333 0.6671


(5)
Crystalline PmGd2Cd at its relaxed geometry, computed with PBE-GGA.

Properties
Size of the total moment: 15.630 μB per formula unit
Energy above the most stable polymorph in this dataset: 0.1280 eV/atom
SG: Fm-3m (225)
Calculated total energy: -0.312 Ha/atom

Unit cell a=5.5121 b=5.5121 c=5.5121 alpha=60.00 beta=60.00 gamma=60.00
Sites, in units of the cell vectors:
Pm1 0.0000 0.0000 0.0000
Gd1 0.2500 0.2500 0.2500
Gd2 0.7500 0.7500 0.7500
Cd1 0.5000 0.5000 0.5000


(6)
Crystalline Cs2NaCaBe at its relaxed geometry, computed with PBE-GGA.

Properties
Size of the total moment: 0.000 μB per formula unit
SG: P4/mmm (123)
Calculated total energy: -0.040 Ha/atom

Unit cell a=7.0870 b=7.0870 c=5.8584 alpha=90.00 beta=90.00 gamma=90.00
Sites, in units of the cell vectors:
Cs1 0.0000 0.5000 0.0000
Cs2 0.5000 0.0000 0.0000
Na1 0.0000 0.0000 0.5000
Ca1 0.5000 0.5000 0.5000
Be1 0.0000 0.0000 0.0000


(7)
Crystalline Ac4CdGa3 at its relaxed geometry, computed with PBE-GGA.

Properties
Size of the total moment: 0.000 μB per formula unit
SG: Pmm2 (25)
Calculated total energy: -0.137 Ha/atom

Unit cell a=4.4473 b=4.8043 c=11.9812 alpha=90.00 beta=90.00 gamma=90.00
Sites, in units of the cell vectors:
Ac1 0.0000 0.0000 0.0000
Ac2 0.0000 0.5000 0.4846
Ac3 0.5000 0.0000 0.7037
Ac4 0.5000 0.5000 0.2118
Cd1 0.0000 0.5000 0.7850
Ga1 0.0000 0.0000 0.2846
Ga2 0.5000 0.0000 0.4163
Ga3 0.5000 0.5000 0.9288


(8)
Crystalline Tc2MoPb at its relaxed geometry, computed with PBE-GGA.

Properties
Size of the total moment: 0.865 μB per formula unit
SG: F-43m (216)
Calculated total energy: -0.300 Ha/atom

Unit cell a=4.5793 b=4.5793 c=4.5793 alpha=60.00 beta=60.00 gamma=60.00
Sites, in units of the cell vectors:
Tc1 0.0000 0.0000 0.0000
Tc2 0.2500 0.2500 0.2500
Mo1 0.7500 0.7500 0.7500
Pb1 0.5000 0.5000 0.5000


(9)
Crystalline ZrGa2Ni2 at its relaxed geometry, computed with PBE-GGA.

Properties
Size of the total moment: 0.000 μB per formula unit
SG: P4/mbm (127)
Calculated total energy: -0.207 Ha/atom

Unit cell a=7.2206 b=7.2206 c=2.7753 alpha=90.00 beta=90.00 gamma=90.00
Sites, in units of the cell vectors:
Zr1 0.0000 0.0000 0.0000
Zr2 0.5000 0.5000 0.0000
Ga1 0.1649 0.3351 0.5000
Ga2 0.3351 0.8351 0.5000
Ga3 0.6649 0.1649 0.5000
Ga4 0.8351 0.6649 0.5000
Ni1 0.1278 0.6278 0.0000
Ni2 0.3722 0.1278 0.0000
Ni3 0.6278 0.8722 0.0000
Ni4 0.8722 0.3722 0.0000


(10)
Crystalline Re2RhSe at its relaxed geometry, computed with PBE-GGA.

Properties
Size of the total moment: 0.000 μB per formula unit
SG: I-4m2 (119)
Calculated total energy: -0.307 Ha/atom

Unit cell a=4.7194 b=4.7194 c=4.7194 alpha=129.72 beta=129.72 gamma=73.86
Sites, in units of the cell vectors:
Re1 0.0000 0.0000 0.0000
Re2 0.7500 0.2500 0.5000
Rh1 0.2500 0.7500 0.5000
Se1 0.5000 0.5000 0.0000


(11)
Crystalline BaIn3Co at its relaxed geometry, computed with PBE-GGA.

Properties
Size of the total moment: 1.449 μB per formula unit
SG: Pm-3m (221)
Calculated total energy: -0.071 Ha/atom

Unit cell a=6.3826 b=6.3826 c=6.3826 alpha=90.00 beta=90.00 gamma=90.00
Sites, in units of the cell vectors:
Ba1 0.0000 0.0000 0.0000
In1 0.0000 0.0000 0.5000
In2 0.0000 0.5000 0.0000
In3 0.5000 0.0000 0.0000
Co1 0.5000 0.5000 0.5000


(12)
Crystalline RbHg2GeRh at its relaxed geometry, computed with PBE-GGA.

Properties
Size of the total moment: 0.000 μB per formula unit
SG: P4/mmm (123)
Calculated total energy: -0.107 Ha/atom

Unit cell a=5.4263 b=5.4263 c=4.7273 alpha=90.00 beta=90.00 gamma=90.00
Sites, in units of the cell vectors:
Rb1 0.0000 0.0000 0.0000
Hg1 0.0000 0.5000 0.5000
Hg2 0.5000 0.0000 0.5000
Ge1 0.5000 0.5000 0.0000
Rh1 0.5000 0.5000 0.5000


(13)
Crystalline MgZr2Fe at its relaxed geometry, computed with PBE-GGA.

Properties
Size of the total moment: 1.521 μB per formula unit
SG: R3m (160)
Calculated total energy: -0.242 Ha/atom

Unit cell a=9.4455 b=9.4455 c=9.4455 alpha=19.28 beta=19.28 gamma=19.28
Sites, in units of the cell vectors:
Mg1 0.0000 0.0000 0.0000
Zr1 0.5248 0.5248 0.5248
Zr2 0.7638 0.7638 0.7638
Fe1 0.2587 0.2587 0.2587


(14)
Crystalline PmNd3Tm2Se6 at its relaxed geometry, computed with PBE-GGA.

Properties
Size of the total moment: 0.000 μB per formula unit
SG: C2/m (12)
Calculated total energy: -0.215 Ha/atom

Unit cell a=7.1518 b=7.1518 c=7.2865 alpha=99.39 beta=99.39 gamma=120.21
Sites, in units of the cell vectors:
Pm1 0.0000 0.0000 0.0000
Nd1 0.1592 0.8408 0.5000
Nd2 0.5000 0.5000 0.5000
Nd3 0.8408 0.1592 0.5000
Tm1 0.3340 0.6660 0.0000
Tm2 0.6660 0.3340 0.0000
Se1 0.0786 0.4238 0.2373
Se2 0.2674 0.2674 0.7685
Se3 0.4238 0.0786 0.2373
Se4 0.5762 0.9214 0.7627
Se5 0.7326 0.7326 0.2315
Se6 0.9214 0.5762 0.7627


(15)
Crystalline Pm3Dy5As8 at its relaxed geometry, computed with PBE-GGA.

Properties
Size of the total moment: 0.000 μB per formula unit
SG: R-3m (166)
Calculated total energy: -0.227 Ha/atom

Unit cell a=8.3270 b=8.3270 c=8.3270 alpha=60.02 beta=60.02 gamma=60.02
Sites, in units of the cell vectors:
Pm1 0.0000 0.5000 0.5000
Pm2 0.5000 0.0000 0.5000
Pm3 0.5000 0.5000 0.0000
Dy1 0.0000 0.0000 0.0000
Dy2 0.0000 0.0000 0.5000
Dy3 0.0000 0.5000 0.0000
Dy4 0.5000 0.0000 0.0000
Dy5 0.5000 0.5000 0.5000
As1 0.2451 0.7500 0.7500
As2 0.2475 0.2475 0.2475
As3 0.2500 0.2500 0.7549
As4 0.2500 0.7549 0.2500
As5 0.7500 0.2451 0.7500
As6 0.7500 0.7500 0.2451
As7 0.7525 0.7525 0.7525
As8 0.7549 0.2500 0.2500


(16)
Crystalline Pm4Dy5Sc3 at its relaxed geometry, computed with PBE-GGA.

Properties
Size of the total moment: 0.600 μB per formula unit
SG: C2/m (12)
Calculated total energy: -0.179 Ha/atom

Unit cell a=8.4919 b=8.4919 c=9.2015 alpha=115.70 beta=115.70 gamma=39.69
Sites, in units of the cell vectors:
Pm1 0.0850 0.0850 0.4470
Pm2 0.2181 0.2181 0.8817
Pm3 0.7819 0.7819 0.1183
Pm4 0.9150 0.9150 0.5530
Dy1 0.0000 0.0000 0.0000
Dy2 0.3278 0.3278 0.6230
Dy3 0.4287 0.4287 0.2871
Dy4 0.5713 0.5713 0.7129
Dy5 0.6722 0.6722 0.3770
Sc1 0.2168 0.2168 0.2376
Sc2 0.5000 0.5000 0.0000
Sc3 0.7832 0.7832 0.7624


(17)
Crystalline GdScCuPt at its relaxed geometry, computed with PBE-GGA.

Properties
Size of the total moment: 7.093 μB per formula unit
SG: F-43m (216)
Calculated total energy: -0.307 Ha/atom

Unit cell a=4.8209 b=4.8209 c=4.8209 alpha=60.00 beta=60.00 gamma=60.00
Sites, in units of the cell vectors:
Gd1 0.0000 0.0000 0.0000
Sc1 0.5000 0.5000 0.5000
Cu1 0.2500 0.2500 0.2500
Pt1 0.7500 0.7500 0.7500


(18)
Crystalline La2YAs at its relaxed geometry, computed with PBE-GGA.

Properties
Size of the total moment: 0.000 μB per formula unit
SG: I-42d (122)
Calculated total energy: -0.210 Ha/atom

Unit cell a=7.1197 b=7.1197 c=7.1197 alpha=100.38 beta=100.38 gamma=129.78
Sites, in units of the cell vectors:
La1 0.0691 0.6250 0.9441
La2 0.3750 0.3191 0.4441
La3 0.6809 0.1250 0.0559
La4 0.8750 0.9309 0.5559
Y1 0.2500 0.7500 0.5000
Y2 0.5000 0.5000 0.0000
As1 0.0000 0.0000 0.0000
As2 0.7500 0.2500 0.5000


(19)
Crystalline Pr4Mg2Cd3 at its relaxed geometry, computed with PBE-GGA.

Properties
Size of the total moment: 0.192 μB per formula unit
SG: C2/m (12)
Calculated total energy: -0.109 Ha/atom

Unit cell a=6.0475 b=6.0475 c=9.8560 alpha=109.90 beta=109.90 gamma=50.04
Sites, in units of the cell vectors:
Pr1 0.0442 0.0442 0.3470
Pr2 0.3454 0.3454 0.1059
Pr3 0.6546 0.6546 0.8941
Pr4 0.9558 0.9558 0.6530
Mg1 0.2919 0.2919 0.7338
Mg2 0.7081 0.7081 0.2662
Cd1 0.0000 0.0000 0.0000
Cd2 0.3560 0.3560 0.4408
Cd3 0.6440 0.6440 0.5592


(20)
Crystalline MgIrBr2 at its relaxed geometry, computed with PBE-GGA.

Properties
Size of the total moment: 0.321 μB per formula unit
Energy above the most stable polymorph in this dataset: 0.6030 eV/atom
SG: Cmmm (65)
Calculated total energy: -0.113 Ha/atom

Unit cell a=3.6126 b=3.6126 c=8.9024 alpha=90.00 beta=90.00 gamma=120.66
Sites, in units of the cell vectors:
Mg1 0.0000 0.0000 0.0000
Ir1 0.0000 0.0000 0.5000
Br1 0.5000 0.5000 0.3049
Br2 0.5000 0.5000 0.6951


(21)
Crystalline La3Ho4Er at its relaxed geometry, computed with PBE-GGA.

Properties
Size of the total moment: 0.000 μB per formula unit
Energy above the most stable polymorph in this dataset: 0.0000 eV/atom
SG: Pmn2_1 (31)
Calculated total energy: -0.172 Ha/atom

Unit cell a=11.5251 b=7.3503 c=6.3571 alpha=90.00 beta=90.00 gamma=90.00
Sites, in units of the cell vectors:
La1 0.0000 0.1248 0.0000
La2 0.2471 0.6231 0.6655
La3 0.2529 0.3769 0.1655
La4 0.5000 0.8752 0.5000
La5 0.7471 0.3769 0.1655
La6 0.7529 0.6231 0.6655
Ho1 0.0000 0.3737 0.4967
Ho2 0.0000 0.8740 0.4953
Ho3 0.2493 0.1234 0.6623
Ho4 0.2507 0.8766 0.1623
Ho5 0.5000 0.1260 0.9953
Ho6 0.5000 0.6263 0.9967
Ho7 0.7493 0.8766 0.1623
Ho8 0.7507 0.1234 0.6623
Er1 0.0000 0.6300 0.9989
Er2 0.5000 0.3700 0.4989


(22)
Crystalline LaTlRu4 at its relaxed geometry, computed with PBE-GGA.

Properties
Size of the total moment: 0.002 μB per formula unit
SG: F-43m (216)
Calculated total energy: -0.264 Ha/atom

Unit cell a=5.3842 b=5.3842 c=5.3842 alpha=60.00 beta=60.00 gamma=60.00
Sites, in units of the cell vectors:
La1 0.0000 0.0000 0.0000
Tl1 0.2500 0.2500 0.2500
Ru1 0.1280 0.6240 0.6240
Ru2 0.6240 0.1280 0.6240
Ru3 0.6240 0.6240 0.1280
Ru4 0.6240 0.6240 0.6240


(23)
Crystalline Sm3Te2S at its relaxed geometry, computed with PBE-GGA.

Properties
Size of the total moment: 0.000 μB per formula unit
Energy above the most stable polymorph in this dataset: 0.0236 eV/atom
SG: Immm (71)
Calculated total energy: -0.208 Ha/atom

Unit cell a=7.6292 b=7.6292 c=7.6292 alpha=148.06 beta=133.24 gamma=57.75
Sites, in units of the cell vectors:
Sm1 0.0000 0.0000 0.0000
Sm2 0.3636 0.3636 0.0000
Sm3 0.6364 0.6364 0.0000
Te1 0.1781 0.6781 0.5000
Te2 0.8219 0.3219 0.5000
S1 0.5000 0.0000 0.5000


(24)
Crystalline BaHg2Os at its relaxed geometry, computed with PBE-GGA.

Properties
Size of the total moment: 0.000 μB per formula unit
Energy above the most stable polymorph in this dataset: 0.1370 eV/atom
SG: Immm (71)
Calculated total energy: -0.107 Ha/atom

Unit cell a=6.2717 b=6.2717 c=6.2717 alpha=146.78 beta=128.07 gamma=63.05
Sites, in units of the cell vectors:
Ba1 0.0000 0.0000 0.0000
Hg1 0.3003 0.8003 0.5000
Hg2 0.6997 0.1997 0.5000
Os1 0.5000 0.5000 0.0000


(25)
Crystalline AcY2H at its relaxed geometry, computed with PBE-GGA.

Properties
Size of the total moment: 0.000 μB per formula unit
SG: R-3m (166)
Calculated total energy: -0.188 Ha/atom

Unit cell a=10.0746 b=10.0746 c=10.0746 alpha=20.72 beta=20.72 gamma=20.72
Sites, in units of the cell vectors:
Ac1 0.0000 0.0000 0.0000
Y1 0.1221 0.1221 0.1221
Y2 0.8779 0.8779 0.8779
H1 0.5000 0.5000 0.5000